(1)
Density functional theory data (PBE) for ZrTaBeRh2 after structural relaxation.

Values from the calculation:
formation enthalpy at 0 K	0.74	eV/atom
total magnetic moment	0.0	μB/f.u.

a = 4.6944 Å, b = 4.6944 Å, c = 4.4478 Å
α = 90.00°, β = 90.00°, γ = 90.00°
Space group P4/mmm (No. 123)
Asymmetric unit:
Zr  0.0000  0.0000  0.0000
Ta  0.5000  0.5000  0.5000
Be  0.5000  0.5000  0.0000
Rh  0.0000  0.5000  0.5000

=====

(2)
Density functional theory data (PBE) for RbReB2Pt after structural relaxation.

Values from the calculation:
formation enthalpy at 0 K	1.55	eV/atom
total magnetic moment	3.9	μB/f.u.
ΔE to the lowest computed polymorph	0.00	eV per formula unit

a = 4.2246 Å, b = 4.2246 Å, c = 5.4619 Å
α = 90.00°, β = 90.00°, γ = 90.00°
Space group P4/mmm (No. 123)
Asymmetric unit:
Rb  0.0000  0.0000  0.0000
Re  0.5000  0.5000  0.0000
B  0.0000  0.5000  0.5000
Pt  0.5000  0.5000  0.5000

=====

(3)
Density functional theory data (PBE) for ZnCr2Ru after structural relaxation.

Values from the calculation:
formation enthalpy at 0 K	0.14	eV/atom
total magnetic moment	1.4	μB/f.u.

a = 3.0811 Å, b = 4.0921 Å, c = 4.2263 Å
α = 90.00°, β = 90.00°, γ = 90.00°
Space group Pmmm (No. 47)
Asymmetric unit:
Zn  0.0000  0.0000  0.0000
Cr  0.0000  0.5000  0.5000
Cr  0.5000  0.0000  0.5000
Ru  0.5000  0.5000  0.0000

=====

(4)
Density functional theory data (PBE) for Cs2SrH2 after structural relaxation.

Values from the calculation:
total magnetic moment	0.0	μB/f.u.
ΔE to the lowest computed polymorph	0.00	eV per formula unit

a = 8.5725 Å, b = 8.5725 Å, c = 4.9268 Å
α = 90.00°, β = 90.00°, γ = 90.00°
Space group P4/mbm (No. 127)
Asymmetric unit:
Cs  0.1531  0.3469  0.0000
Sr  0.0000  0.0000  0.5000
H  0.1915  0.6915  0.5000

=====

(5)
Density functional theory data (PBE) for CdBi2Ir2 after structural relaxation.

Values from the calculation:
formation enthalpy at 0 K	0.45	eV/atom
total magnetic moment	0.0	μB/f.u.
ΔE to the lowest computed polymorph	0.88	eV per formula unit

a = 4.5613 Å, b = 4.5613 Å, c = 11.6779 Å
α = 90.00°, β = 90.00°, γ = 90.00°
Space group I4/mmm (No. 139)
Asymmetric unit:
Cd  0.0000  0.0000  0.0000
Bi  0.0000  0.5000  0.2500
Ir  0.0000  0.0000  0.3948

=====

(6)
Density functional theory data (PBE) for Ac2Hg3Au after structural relaxation.

Values from the calculation:
formation enthalpy at 0 K	-0.56	eV/atom
total magnetic moment	0.0	μB/f.u.

a = 3.9162 Å, b = 5.0474 Å, c = 8.7368 Å
α = 90.00°, β = 90.00°, γ = 90.00°
Space group Pmm2 (No. 25)
Asymmetric unit:
Ac  0.0000  0.0000  0.0000
Ac  0.0000  0.5000  0.4744
Hg  0.5000  0.0000  0.6492
Hg  0.5000  0.5000  0.1526
Hg  0.5000  0.5000  0.8165
Au  0.5000  0.0000  0.3185